Material: K2MnSe
Method: DFT, PBE-GGA
State: optimized geometry

abc: 5.615 5.615 5.615
angles: 60.00 60.00 60.00
Positions (direct):
Mn  0.500  0.500  0.500
K  0.000  0.000  0.000
K  0.250  0.250  0.250
Se  0.750  0.750  0.750

The calculation puts the spin magnetization at 1.25 μB per atom. Its crystal system is cubic. The uncorrected energy comes out at -14.2 eV/cell.